Model A:
A relaxed KRbLi2 crystal. Source: Alexandria via LeMat-Bulk, functional PBE.

Computed properties:
**Total magnetization**: 0.0 μB per cell

POSCAR file:
```
KRbLi2
1.0
0.000 4.621 4.621
4.621 0.000 4.621
4.621 4.621 0.000
Rb Li K
1 2 1
direct
0.500 0.500 0.500
0.250 0.250 0.250
0.750 0.750 0.750
0.000 0.000 0.000
```

---

Model B:
A relaxed KRbLi2 crystal. Source: Alexandria via LeMat-Bulk, functional PBE.

Computed properties:
**Total magnetization**: 0.0 μB per cell

POSCAR file:
```
KRbLi2
1.0
10.194 0.000 0.000
0.000 10.194 0.000
5.097 5.097 3.787
Li K Rb
4 2 2
direct
0.132 0.625 0.250
0.375 0.382 0.750
0.875 0.868 0.750
0.618 0.125 0.250
0.500 0.500 0.000
0.250 0.750 0.500
0.750 0.250 0.500
0.000 0.000 0.000
```

---

Pick model A: it beats the second-best structure by 0.057 eV/atom.